Entry 1:
PBE CaAc6CoIr, optimized geometry; Fermi-level density of states = 11.6 states/eV/f.u.; space-group type = P312 (149); size of the total moment = 0.00 μB per cell; total DFT energy (no corrections) = -4.7715 eV per atom; ΔE_f = -0.036 eV per atom
1.0
7.566 0.000 0.000
-3.783 6.552 0.000
0.000 0.000 7.806
Ca Ac Co Ir
1 6 1 1
direct
0.000 0.000 0.000
0.376 0.008 0.713
0.376 0.368 0.287
0.632 0.008 0.287
0.632 0.624 0.713
0.992 0.368 0.713
0.992 0.624 0.287
0.667 0.333 0.500
0.333 0.667 0.500

---

Entry 2:
PBE La4Pm5Er4, optimized geometry; Fermi-level density of states = 20.7 states/eV/f.u.; space-group type = I4/m (87); size of the total moment = 0.00 μB per cell; total DFT energy (no corrections) = -4.7230 eV per atom; ΔE_f = 0.024 eV per atom
1.0
-6.553 6.553 2.580
6.553 -6.553 2.580
6.553 6.553 -2.580
La Pm Er
4 5 4
direct
0.078 0.618 0.695
0.382 0.078 0.460
0.618 0.922 0.540
0.922 0.382 0.305
0.000 0.000 0.000
0.311 0.458 0.769
0.458 0.689 0.148
0.542 0.311 0.852
0.689 0.542 0.231
0.153 0.231 0.384
0.231 0.847 0.077
0.769 0.153 0.923
0.847 0.769 0.616

---

Entry 3:
PBE Rb3CeCu2Cl9, optimized geometry; Fermi-level density of states = 8.4 states/eV/f.u.; space-group type = P-3m1 (164); size of the total moment = 0.91 μB per cell; total DFT energy (no corrections) = -3.8008 eV per atom
1.0
7.296 0.000 0.000
-3.648 6.319 0.000
0.000 0.000 9.089
Rb Ce Cu Cl
3 1 2 9
direct
0.000 0.000 0.000
0.333 0.667 0.700
0.667 0.333 0.300
0.000 0.000 0.500
0.333 0.667 0.126
0.667 0.333 0.874
0.000 0.500 0.000
0.172 0.343 0.327
0.172 0.828 0.327
0.343 0.172 0.673
0.500 0.000 0.000
0.500 0.500 0.000
0.657 0.828 0.327
0.828 0.172 0.673
0.828 0.657 0.673

---

Entry 4:
PBE Pm2PrDy2Y6, optimized geometry; Fermi-level density of states = 17.2 states/eV/f.u.; space-group type = C2/m (12); size of the total moment = 0.00 μB per cell; total DFT energy (no corrections) = -5.5086 eV per atom; ΔE_f = 0.152 eV per atom
1.0
2.865 -6.037 0.000
2.865 6.037 0.000
-0.009 0.000 10.674
Pm Pr Dy Y
2 1 2 6
direct
0.135 0.865 0.000
0.865 0.135 0.000
0.500 0.500 0.500
0.204 0.796 0.500
0.796 0.204 0.500
0.000 0.000 0.290
0.000 0.000 0.710
0.346 0.653 0.792
0.347 0.654 0.208
0.653 0.346 0.792
0.654 0.347 0.208